# 1
The following is a DFT calculation (GGA-PBE) of a relaxed structure of Ac2In2Pt15.

Results
Fermi-level density of states	15.7	states/eV/f.u.
energy of formation	-0.534	eV per atom

Unit cell a=9.4979 b=9.4979 c=13.5956 alpha=90.00 beta=90.00 gamma=120.00
Last column: nearest neighbours and their distance in Å.
Space group R-3m (No. 166, hexagonal axes)
Inequivalent atoms, fractional coordinates:
Ac (0.0000, 0.0000, 0.1490) [6 per cell]  15 Pt 3.27-3.65, 1 In 3.37
In (0.0000, 0.0000, 0.3973) [6 per cell]  1 In 2.79, 6 Pt 2.88-2.93
Pt (0.0000, 0.3136, 0.5000) [18 per cell]  8 Pt 2.72-2.98
Pt (0.0000, 0.5000, 0.0000) [9 per cell]  8 Pt 2.72-2.75, 2 In 2.88
Pt (0.0016, 0.5008, 0.6582) [18 per cell]  8 Pt 2.74-2.81, 1 In 2.93

=====

# 2
The following is a DFT calculation (GGA-PBE) of a relaxed structure of AcIn6Pt4.

Results
Fermi-level density of states	2.9	states/eV/f.u.
energy of formation	-0.613	eV per atom

Unit cell a=7.1339 b=7.1339 c=10.0892 alpha=90.00 beta=90.00 gamma=90.00
Last column: nearest neighbours and their distance in Å.
Space group I-42m (No. 121)
Inequivalent atoms, fractional coordinates:
Ac (0.0000, 0.0000, 0.0000) [2 per cell]  4 Pt 3.31, 8 In 3.47-3.57
In (0.0000, 0.5000, 0.0000) [4 per cell]  4 Pt 2.73
In (0.1728, 0.1728, 0.2977) [8 per cell]  4 Pt 2.68-2.83
Pt (0.1808, 0.1808, 0.5761) [8 per cell]  6 In 2.68-2.83

=====

# 3
The following is a DFT calculation (GGA-PBE) of a relaxed structure of Ac7InPt5.

Results
Fermi-level density of states	8.8	states/eV/f.u.
energy of formation	-0.989	eV per atom

Unit cell a=4.4008 b=14.7727 c=26.4512 alpha=90.00 beta=90.00 gamma=90.00
Last column: nearest neighbours and their distance in Å.
Space group Cmcm (No. 63)
Inequivalent atoms, fractional coordinates:
Ac (0.0000, 0.0280, 0.2500) [4 per cell]  2 Pt 3.03
Ac (0.0000, 0.1348, 0.5349) [8 per cell]  6 Pt 3.11-3.16
Ac (0.0000, 0.3238, 0.1695) [8 per cell]  3 Pt 2.97-3.05
Ac (0.0000, 0.4079, 0.6050) [8 per cell]  5 Pt 3.09-3.12
In (0.0000, 0.2954, 0.7500) [4 per cell]  6 Ac 3.41-3.53
Pt (0.0000, 0.0417, 0.6424) [8 per cell]  6 Ac 3.03-3.16
Pt (0.0000, 0.2272, 0.0708) [8 per cell]  6 Ac 2.97-3.15
Pt (0.0000, 0.5000, 0.0000) [4 per cell]  6 Ac 3.09-3.11